## Ce2ThTi (GGA-PBE)

Data for a relaxed structure of Ce2ThTi.

Output
- V: 104 Å³ per cell
- D(E_F): 2.0199 states/eV per atom
- Size of the total moment: 0.000 μB/f.u.
- Energy: -26.59 eV per formula unit
- Density: 8.90 g/cm³
- Crystal system: tetragonal
- Distance to the lowest polymorph of the same formula: 0 meV per atom
- Energy relative to the elements: 149.1 meV per atom

Cell and atoms, written as POSCAR:
```
Ce2ThTi
1.0
3.397 0.000 0.000
0.000 3.397 0.000
0.000 0.000 9.052
Ce Th Ti
2 1 1
direct
0.000 0.000 0.231
0.000 0.000 0.769
0.500 0.500 0.500
0.500 0.500 0.000
```

## Ce2ThTi (GGA-PBE)

Data for a relaxed structure of Ce2ThTi.

Output
- V: 104 Å³ per cell
- D(E_F): 2.3774 states/eV per atom
- Size of the total moment: 0.000 μB/f.u.
- Energy: -26.50 eV per formula unit
- Density: 8.97 g/cm³
- Crystal system: tetragonal
- Distance to the lowest polymorph of the same formula: 21 meV per atom
- Energy relative to the elements: 169.6 meV per atom

Cell and atoms, written as POSCAR:
```
Ce2ThTi
1.0
4.534 0.000 0.000
0.000 4.534 0.000
0.000 0.000 5.043
Ce Th Ti
2 1 1
direct
0.000 0.500 0.000
0.500 0.000 0.000
0.000 0.000 0.500
0.500 0.500 0.500
```

## CeTh2Ti (GGA-PBE)

Data for a relaxed structure of CeTh2Ti.

Output
- V: 108 Å³ per cell
- D(E_F): 1.9415 states/eV per atom
- Size of the total moment: 0.003 μB/f.u.
- Energy: -28.28 eV per formula unit
- Density: 10.03 g/cm³
- Crystal system: tetragonal
- Distance to the lowest polymorph of the same formula: 0 meV per atom
- Energy relative to the elements: 98.0 meV per atom

Cell and atoms, written as POSCAR:
```
CeTh2Ti
1.0
3.581 0.000 0.000
0.000 3.581 0.000
0.000 0.000 8.421
Ce Th Ti
1 2 1
direct
0.000 0.000 0.000
0.500 0.500 0.274
0.500 0.500 0.726
0.000 0.000 0.500
```

## CeThTiZn (GGA-PBE)

Data for a relaxed structure of CeThTiZn.

Output
- V: 98 Å³ per cell
- D(E_F): 1.9124 states/eV per atom
- Size of the total moment: 2.523 μB/f.u.
- Energy: -22.14 eV per formula unit
- Density: 8.23 g/cm³
- Crystal system: cubic
- Energy relative to the elements: 95.6 meV per atom

Cell and atoms, written as POSCAR:
```
CeThTiZn
1.0
0.000 3.659 3.659
3.659 0.000 3.659
3.659 3.659 0.000
Ce Th Ti Zn
1 1 1 1
direct
0.000 0.000 0.000
0.500 0.500 0.500
0.750 0.750 0.750
0.250 0.250 0.250
```

## Ce6ThTl (GGA-PBE)

Data for a relaxed structure of Ce6ThTl.

Output
- V: 223 Å³ per cell
- D(E_F): 3.0323 states/eV per atom
- Size of the total moment: 0.020 μB/f.u.
- Energy: -43.39 eV per formula unit
- Density: 9.50 g/cm³
- Crystal system: monoclinic
- Energy relative to the elements: 249.4 meV per atom

Cell and atoms, written as POSCAR:
```
Ce6ThTl
1.0
3.327 -5.718 0.000
3.327 5.718 0.000
-2.999 0.000 5.867
Ce Th Tl
6 1 1
direct
0.005 0.005 0.302
0.235 0.734 0.230
0.266 0.765 0.770
0.734 0.235 0.230
0.765 0.266 0.770
0.995 0.995 0.698
0.500 0.500 0.500
0.500 0.500 0.000
```

## CeTh2Tl9 (GGA-PBE)

Data for a relaxed structure of CeTh2Tl9.

Output
- V: 338 Å³ per cell
- D(E_F): 1.0280 states/eV per atom
- Size of the total moment: 1.279 μB/f.u.
- Energy: -44.27 eV per formula unit
- Density: 11.99 g/cm³
- Crystal system: tetragonal
- Energy relative to the elements: -183.6 meV per atom

Cell and atoms, written as POSCAR:
```
CeTh2Tl9
1.0
4.830 0.000 0.000
0.000 4.830 0.000
0.000 0.000 14.504
Ce Th Tl
1 2 9
direct
0.000 0.000 0.000
0.000 0.000 0.334
0.000 0.000 0.666
0.000 0.500 0.165
0.000 0.500 0.500
0.000 0.500 0.835
0.500 0.000 0.165
0.500 0.000 0.500
0.500 0.000 0.835
0.500 0.500 0.000
0.500 0.500 0.332
0.500 0.500 0.668
```

## CeTh2Tl2 (GGA-PBE)

Data for a relaxed structure of CeTh2Tl2.

Output
- V: 304 Å³ per cell
- D(E_F): 1.9182 states/eV per atom
- Size of the total moment: 0.798 μB/f.u.
- Energy: -25.73 eV per formula unit
- Density: 11.05 g/cm³
- Crystal system: orthorhombic
- Energy relative to the elements: -44.4 meV per atom

Cell and atoms, written as POSCAR:
```
CeTh2Tl2
1.0
2.392 -9.328 0.000
2.392 9.328 0.000
0.000 0.000 6.820
Ce Th Tl
2 4 4
direct
0.087 0.913 0.500
0.913 0.087 0.000
0.094 0.906 0.020
0.290 0.710 0.259
0.710 0.290 0.759
0.906 0.094 0.520
0.325 0.675 0.768
0.488 0.512 0.257
0.512 0.488 0.757
0.675 0.325 0.268
```

## CeThTl (GGA-PBE)

Data for a relaxed structure of CeThTl.

Output
- V: 177 Å³ per cell
- D(E_F): 2.1800 states/eV per atom
- Size of the total moment: 0.606 μB/f.u.
- Energy: -15.81 eV per formula unit
- Density: 10.84 g/cm³
- Crystal system: monoclinic
- Distance to the lowest polymorph of the same formula: 53 meV per atom
- Energy relative to the elements: -28.9 meV per atom

Cell and atoms, written as POSCAR:
```
CeThTl
1.0
5.876 -1.804 0.000
5.876 1.804 0.000
-3.196 0.000 8.335
Ce Th Tl
2 2 2
direct
0.019 0.019 0.263
0.981 0.981 0.737
0.322 0.322 0.383
0.678 0.678 0.617
0.342 0.342 0.950
0.658 0.658 0.050
```

## CeThTl4 (GGA-PBE)

Data for a relaxed structure of CeThTl4.

Output
- V: 172 Å³ per cell
- D(E_F): 1.9032 states/eV per atom
- Size of the total moment: 1.837 μB/f.u.
- Energy: -22.75 eV per formula unit
- Density: 11.46 g/cm³
- Crystal system: cubic
- Energy relative to the elements: 11.5 meV per atom

Cell and atoms, written as POSCAR:
```
CeThTl4
1.0
0.000 4.417 4.417
4.417 0.000 4.417
4.417 4.417 0.000
Ce Th Tl
1 1 4
direct
0.000 0.000 0.000
0.250 0.250 0.250
0.125 0.625 0.625
0.625 0.125 0.625
0.625 0.625 0.125
0.625 0.625 0.625
```

## CeTh3Tl3 (GGA-PBE)

Data for a relaxed structure of CeTh3Tl3.

Output
- V: 426 Å³ per cell
- D(E_F): 2.0692 states/eV per atom
- Size of the total moment: 1.161 μB/f.u.
- Energy: -35.43 eV per formula unit
- Density: 11.31 g/cm³
- Crystal system: hexagonal
- Energy relative to the elements: -20.1 meV per atom

Cell and atoms, written as POSCAR:
```
CeTh3Tl3
1.0
9.417 0.000 0.000
-4.709 8.155 0.000
0.000 0.000 5.543
Ce Th Tl
2 6 6
direct
0.333 0.667 0.250
0.667 0.333 0.750
0.018 0.236 0.250
0.218 0.982 0.250
0.236 0.218 0.750
0.764 0.782 0.250
0.782 0.018 0.750
0.982 0.764 0.750
0.083 0.464 0.750
0.381 0.917 0.750
0.464 0.381 0.250
0.536 0.619 0.750
0.619 0.083 0.250
0.917 0.536 0.250
```

## CeTh12Tl3 (GGA-PBE)

Data for a relaxed structure of CeTh12Tl3.

Output
- V: 494 Å³ per cell
- D(E_F): 1.4027 states/eV per atom
- Size of the total moment: 0.000 μB/f.u.
- Energy: -102.36 eV per formula unit
- Density: 11.89 g/cm³
- Crystal system: tetragonal
- Energy relative to the elements: -17.9 meV per atom

Cell and atoms, written as POSCAR:
```
CeTh12Tl3
1.0
4.949 0.000 0.000
0.000 4.949 0.000
0.000 0.000 20.170
Ce Th Tl
1 12 3
direct
0.000 0.000 0.000
0.000 0.500 0.128
0.000 0.500 0.377
0.000 0.500 0.623
0.000 0.500 0.872
0.500 0.000 0.128
0.500 0.000 0.377
0.500 0.000 0.623
0.500 0.000 0.872
0.500 0.500 0.000
0.500 0.500 0.250
0.500 0.500 0.500
0.500 0.500 0.750
0.000 0.000 0.253
0.000 0.000 0.500
0.000 0.000 0.747
```

## Ce4ThTl5 (GGA-PBE)

Data for a relaxed structure of Ce4ThTl5.

Output
- V: 290 Å³ per cell
- D(E_F): 2.7684 states/eV per atom
- Size of the total moment: 4.505 μB/f.u.
- Energy: -44.87 eV per formula unit
- Density: 10.38 g/cm³
- Crystal system: tetragonal
- Energy relative to the elements: -188.0 meV per atom

Cell and atoms, written as POSCAR:
```
Ce4ThTl5
1.0
4.163 0.000 0.000
0.000 4.163 0.000
0.000 0.000 16.755
Ce Th Tl
4 1 5
direct
0.000 0.000 0.099
0.000 0.000 0.298
0.000 0.000 0.702
0.000 0.000 0.901
0.000 0.000 0.500
0.500 0.500 0.000
0.500 0.500 0.199
0.500 0.500 0.399
0.500 0.500 0.601
0.500 0.500 0.801
```

## CeThTl (GGA-PBE)

Data for a relaxed structure of CeThTl.

Output
- V: 88 Å³ per cell
- D(E_F): 2.0906 states/eV per atom
- Size of the total moment: 0.452 μB/f.u.
- Energy: -15.86 eV per formula unit
- Density: 10.83 g/cm³
- Crystal system: tetragonal
- Distance to the lowest polymorph of the same formula: 36 meV per atom
- Energy relative to the elements: -46.1 meV per atom

Cell and atoms, written as POSCAR:
```
CeThTl
1.0
-2.113 2.113 4.950
2.113 -2.113 4.950
2.113 2.113 -4.950
Ce Th Tl
1 1 1
direct
0.000 0.000 0.000
0.698 0.698 0.000
0.350 0.350 0.000
```

## CeThTl (GGA-PBE)

Data for a relaxed structure of CeThTl.

Output
- V: 84 Å³ per cell
- D(E_F): 2.2148 states/eV per atom
- Size of the total moment: 0.829 μB/f.u.
- Energy: -15.44 eV per formula unit
- Density: 11.43 g/cm³
- Crystal system: hexagonal
- Distance to the lowest polymorph of the same formula: 177 meV per atom
- Energy relative to the elements: 94.3 meV per atom

Cell and atoms, written as POSCAR:
```
CeThTl
1.0
5.439 0.000 0.000
-2.720 4.711 0.000
0.000 0.000 3.269
Ce Th Tl
1 1 1
direct
0.000 0.000 0.000
0.333 0.667 0.000
0.667 0.333 0.500
```

## Ce3ThTl2 (GGA-PBE)

Data for a relaxed structure of Ce3ThTl2.

Output
- V: 325 Å³ per cell
- D(E_F): 2.4089 states/eV per atom
- Size of the total moment: 1.827 μB/f.u.
- Energy: -30.07 eV per formula unit
- Density: 10.85 g/cm³
- Crystal system: orthorhombic
- Energy relative to the elements: -18.8 meV per atom

Cell and atoms, written as POSCAR:
```
Ce3ThTl2
1.0
-2.748 6.416 4.607
2.748 -6.416 4.607
2.748 6.416 -4.607
Ce Th Tl
6 2 4
direct
0.156 0.146 0.010
0.364 0.854 0.510
0.436 0.186 0.250
0.564 0.814 0.750
0.636 0.146 0.490
0.844 0.854 0.990
0.098 0.848 0.250
0.902 0.152 0.750
0.116 0.492 0.624
0.368 0.492 0.876
0.632 0.508 0.124
0.884 0.508 0.376
```

## Ce2Th3Tl2 (GGA-PBE)

Data for a relaxed structure of Ce2Th3Tl2.

Output
- V: 208 Å³ per cell
- D(E_F): 2.1601 states/eV per atom
- Size of the total moment: 1.142 μB/f.u.
- Energy: -39.12 eV per formula unit
- Density: 11.03 g/cm³
- Crystal system: monoclinic
- Distance to the lowest polymorph of the same formula: 0 meV per atom
- Energy relative to the elements: -36.7 meV per atom

Cell and atoms, written as POSCAR:
```
Ce2Th3Tl2
1.0
5.758 -2.301 0.000
5.758 2.301 0.000
-1.036 0.000 7.867
Ce Th Tl
2 3 2
direct
0.061 0.061 0.177
0.939 0.939 0.823
0.217 0.217 0.645
0.500 0.500 0.500
0.783 0.783 0.355
0.351 0.351 0.077
0.649 0.649 0.923
```

## Ce3Th2Tl4 (GGA-PBE)

Data for a relaxed structure of Ce3Th2Tl4.

Output
- V: 259 Å³ per cell
- D(E_F): 1.9921 states/eV per atom
- Size of the total moment: 0.023 μB/f.u.
- Energy: -43.34 eV per formula unit
- Density: 10.92 g/cm³
- Crystal system: triclinic
- Energy relative to the elements: -137.0 meV per atom

Cell and atoms, written as POSCAR:
```
Ce3Th2Tl4
1.0
5.207 0.000 0.000
-2.524 5.079 0.000
-0.146 -1.009 9.781
Ce Th Tl
3 2 4
direct
0.000 0.000 0.000
0.343 0.610 0.450
0.657 0.390 0.550
0.336 0.707 0.774
0.664 0.293 0.226
0.004 0.950 0.341
0.330 0.642 0.109
0.670 0.358 0.891
0.996 0.050 0.659
```

## Ce3ThTl3 (GGA-PBE)

Data for a relaxed structure of Ce3ThTl3.

Output
- V: 408 Å³ per cell
- D(E_F): 2.6312 states/eV per atom
- Size of the total moment: 3.057 μB/f.u.
- Energy: -32.64 eV per formula unit
- Density: 10.30 g/cm³
- Crystal system: hexagonal
- Energy relative to the elements: -45.9 meV per atom

Cell and atoms, written as POSCAR:
```
Ce3ThTl3
1.0
9.526 0.000 0.000
-4.763 8.250 0.000
0.000 0.000 5.191
Ce Th Tl
6 2 6
direct
0.008 0.780 0.250
0.220 0.228 0.250
0.228 0.008 0.750
0.772 0.992 0.250
0.780 0.772 0.750
0.992 0.220 0.750
0.333 0.667 0.250
0.667 0.333 0.750
0.073 0.617 0.750
0.383 0.455 0.750
0.455 0.073 0.250
0.545 0.927 0.750
0.617 0.545 0.250
0.927 0.383 0.250
```

## Ce2Th3Tl2 (GGA-PBE)

Data for a relaxed structure of Ce2Th3Tl2.

Output
- V: 208 Å³ per cell
- D(E_F): 1.9930 states/eV per atom
- Size of the total moment: 0.006 μB/f.u.
- Energy: -38.78 eV per formula unit
- Density: 11.08 g/cm³
- Crystal system: orthorhombic
- Distance to the lowest polymorph of the same formula: 48 meV per atom
- Energy relative to the elements: 11.7 meV per atom

Cell and atoms, written as POSCAR:
```
Ce2Th3Tl2
1.0
-1.754 2.763 10.705
1.754 -2.763 10.705
1.754 2.763 -10.705
Ce Th Tl
2 3 2
direct
0.064 0.064 0.000
0.936 0.936 0.000
0.198 0.698 0.500
0.500 0.500 0.000
0.802 0.302 0.500
0.355 0.855 0.500
0.645 0.145 0.500
```

## Ce2ThTl2 (GGA-PBE)

Data for a relaxed structure of Ce2ThTl2.

Output
- V: 293 Å³ per cell
- D(E_F): 1.8573 states/eV per atom
- Size of the total moment: 0.927 μB/f.u.
- Energy: -24.47 eV per formula unit
- Density: 10.44 g/cm³
- Crystal system: monoclinic
- Distance to the lowest polymorph of the same formula: 0 meV per atom
- Energy relative to the elements: -90.3 meV per atom

Cell and atoms, written as POSCAR:
```
Ce2ThTl2
1.0
6.022 -2.175 0.000
6.022 2.175 0.000
-0.097 0.000 11.187
Ce Th Tl
4 2 4
direct
0.055 0.055 0.185
0.144 0.144 0.412
0.856 0.856 0.588
0.945 0.945 0.815
0.210 0.210 0.772
0.790 0.790 0.228
0.368 0.368 0.027
0.434 0.434 0.379
0.566 0.566 0.621
0.632 0.632 0.973
```